# 1
Computed, not measured: an optimized crystal structure of CsBeBr3 at the PBE level of DFT.

Properties
Total energy ... -2.92 eV per atom
Energy above the lowest structure with this stoichiometry ... 176.7 kJ/mol of formula units
Formation energy without anion corrections ... -1004.3 meV per atom
M_tot ... 0.00 μB per formula unit

Structure (POSCAR):
```
CsBeBr3
1.0
5.151 0.000 0.000
0.000 5.151 0.000
0.000 0.000 5.151
Cs Be Br
1 1 3
Direct
0.000 0.000 0.000
0.500 0.500 0.500
0.000 0.500 0.500
0.500 0.000 0.500
0.500 0.500 0.000
```

---

# 2
Computed, not measured: an optimized crystal structure of KTe2Pb at the PBE level of DFT.

Properties
Total energy ... -3.24 eV per atom
Fermi-level density of states ... 0.67 states/eV per cell
Formation energy without anion corrections ... -465.7 meV per atom
M_tot ... 0.00 μB per formula unit

Structure (POSCAR):
```
KTe2Pb
1.0
4.405 -4.404 0.000
4.405 4.404 0.000
-0.020 0.000 3.384
K Te Pb
1 2 1
Direct
0.000 0.000 0.000
0.000 0.500 0.500
0.500 0.000 0.500
0.500 0.500 0.000
```

---

Copy entry 1 word for word.
Computed, not measured: an optimized crystal structure of CsBeBr3 at the PBE level of DFT.

Properties
Total energy ... -2.92 eV per atom
Energy above the lowest structure with this stoichiometry ... 176.7 kJ/mol of formula units
Formation energy without anion corrections ... -1004.3 meV per atom
M_tot ... 0.00 μB per formula unit

Structure (POSCAR):
```
CsBeBr3
1.0
5.151 0.000 0.000
0.000 5.151 0.000
0.000 0.000 5.151
Cs Be Br
1 1 3
Direct
0.000 0.000 0.000
0.500 0.500 0.500
0.000 0.500 0.500
0.500 0.000 0.500
0.500 0.500 0.000
```